The following is a DFT calculation (GGA-PBE) of crystalline CsZrBe2Zn at its relaxed geometry.

Results
For the density of states at the Fermi level, the calculation gives 3.61 states/eV/cell. The final energy comes out at -7.45 eV/cell. For the formation energy, the calculation gives 206 kJ per mole of atoms.

Unit cell a=4.837 b=4.837 c=5.304 alpha=90.00 beta=90.00 gamma=90.00
Space group P4/mmm (No. 123)
Asymmetric unit:
Cs 0.000 0.000 0.000
Zr 0.500 0.500 0.500
Be 0.000 0.500 0.000
Zn 0.000 0.000 0.500

***

The following is a DFT calculation (GGA-PBE) of crystalline CsZrBe3 at its relaxed geometry.

Results
For the density of states at the Fermi level, the calculation gives 6.25 states/eV/cell. The final energy comes out at -13.29 eV/cell. The energy above the most stable polymorph in this dataset comes out at 0.0 kJ/mol of atoms. For the formation energy, the calculation gives 141 kJ per mole of atoms.

Unit cell a=5.267 b=5.267 c=5.267 alpha=90.00 beta=90.00 gamma=90.00
Space group Pm-3m (No. 221)
Asymmetric unit:
Cs 0.000 0.000 0.000
Zr 0.500 0.500 0.500
Be 0.000 0.500 0.500

***

The following is a DFT calculation (GGA-PBE) of crystalline CsZr3Be at its relaxed geometry.

Results
For the density of states at the Fermi level, the calculation gives 3.80 states/eV/cell. The final energy comes out at -25.60 eV/cell. For the formation energy, the calculation gives 89 kJ per mole of atoms.

Unit cell a=5.013 b=5.013 c=5.013 alpha=90.00 beta=90.00 gamma=90.00
Space group Pm-3m (No. 221)
Asymmetric unit:
Cs 0.000 0.000 0.000
Zr 0.000 0.500 0.500
Be 0.500 0.500 0.500

***

The following is a DFT calculation (GGA-PBE) of crystalline CsZrBe3 at its relaxed geometry.

Results
For the density of states at the Fermi level, the calculation gives 3.07 states/eV/cell. The final energy comes out at -8.91 eV/cell. The energy above the most stable polymorph in this dataset comes out at 84.6 kJ/mol of atoms. For the formation energy, the calculation gives 225 kJ per mole of atoms.

Unit cell a=4.788 b=4.788 c=4.788 alpha=90.00 beta=90.00 gamma=90.00
Space group Pm-3m (No. 221)
Asymmetric unit:
Cs 0.000 0.000 0.000
Zr 0.500 0.500 0.500
Be 0.000 0.000 0.500